Computed, not measured: an optimized crystal structure of Mn2SiO at the PBE with a Hubbard U level of DFT.

Summary:
- excess energy over the best structure of this formula in the dataset (meV/atom) = 0
- total magnetization (μB per formula unit) = 7.894
- VASP energy (eV per atom) = -6.22

abc: 6.119 6.119 6.119
angles: 90.00 90.00 90.00
Space group Fm-3m (No. 225)
Unique sites:
Mn 0.250 0.250 0.250 (multiplicity 8)
Si 0.000 0.000 0.000 (multiplicity 4)
O 0.000 0.000 0.500 (multiplicity 4)